This record from the Alexandria database describes a relaxed structure of Ga2NiMo. The functional is PBE-GGA.

Structure (POSCAR):
```
Ga2NiMo
1.0
-3.359 3.359 2.688
3.359 -3.359 2.688
3.359 3.359 -2.688
Ga Ni Mo
4 2 2
Direct
0.093 0.625 0.968
0.375 0.343 0.468
0.657 0.125 0.032
0.875 0.907 0.532
0.000 0.000 0.000
0.750 0.250 0.500
0.250 0.750 0.500
0.500 0.500 0.000
```

Output
The theoretical density is 8.05 Mg/m³. Its formation energy is 0.17 eV per atom. For the total magnetization, the calculation gives 0.00 μB/f.u.